First-principles (PBE) data for a relaxed La4PdSe2Br crystal, as listed in Alexandria.

a = 7.545 Å, b = 4.224 Å, c = 7.622 Å
α = 90.00°, β = 109.24°, γ = 90.00°
Space group P2/m (No. 10)
Symmetry-distinct sites (fractional):
La 0.236 0.000 0.244
La 0.242 0.500 0.736
Pd 0.000 0.500 0.000
Se 0.000 0.000 0.500
Se 0.500 0.500 0.500
Br 0.500 0.000 0.000

Summary:
energy relative to the elements, uncorrected: -1.511 eV/atom
magnetization: 0.000 μB per formula unit
ρ: 6.52 Mg/m³
DOS(E_F): 5.42 states/eV per cell

First-principles (PBE) data for a relaxed LaPdSe2Br crystal, as listed in Alexandria.

a = 5.061 Å, b = 5.061 Å, c = 4.947 Å
α = 90.00°, β = 90.00°, γ = 90.00°
Space group P4/mmm (No. 123)
Symmetry-distinct sites (fractional):
La 0.000 0.000 0.000
Pd 0.500 0.500 0.500
Se 0.000 0.500 0.500
Br 0.500 0.500 0.000

Summary:
excess energy over the best structure of this formula in the dataset: 0.0 meV per atom
energy relative to the elements, uncorrected: -0.885 eV/atom
magnetization: 0.001 μB per formula unit
ρ: 6.33 Mg/m³
DOS(E_F): 2.02 states/eV per cell